No. 1
Compound: LaAl2SiNi4
Source: Alexandria via LeMat-Bulk
Functional: PBE
Structure: optimized geometry

The calculation puts the raw formation energy at -0.546 eV/atom.

It has space group R-3m (No. 166, hexagonal axes), with a = 4.0331 Å, b = 4.0331 Å, c = 25.8495 Å, α = 90.00°, β = 90.00° and γ = 120.00°. The asymmetric unit holds La at (0.0000, 0.0000, 0.0000), Al at (0.0000, 0.0000, 0.2364), Si at (0.0000, 0.0000, 0.5000), Ni at (0.0000, 0.0000, 0.1381) and Ni at (0.0000, 0.0000, 0.4115).

=====

No. 2
Compound: SrBeIr3
Source: Alexandria via LeMat-Bulk
Functional: PBE
Structure: optimized geometry

Its offset from the most stable computed form is 0.0 meV per atom. For the formation energy, the calculation gives 12 kJ/mol of atoms.

It has space group Pm-3m (No. 221), with a = 4.355 Å, b = 4.355 Å, c = 4.355 Å, α = 90.00°, β = 90.00° and γ = 90.00°. The asymmetric unit holds Sr at (0.000, 0.000, 0.000), Be at (0.500, 0.500, 0.500) and Ir at (0.000, 0.500, 0.500).

=====

No. 3
Compound: ReOs2Se
Source: Alexandria via LeMat-Bulk
Functional: PBE
Structure: optimized geometry

The calculation puts the raw formation energy at 1.035 eV/atom.

It has space group P4/mmm (No. 123), with a = 4.100 Å, b = 4.100 Å, c = 3.641 Å, α = 90.00°, β = 90.00° and γ = 90.00°. The asymmetric unit holds Re at (0.000, 0.000, 0.000), Os at (0.000, 0.500, 0.500) and Se at (0.500, 0.500, 0.000).

=====

No. 4
Compound: Rb2BeBI6
Source: Alexandria via LeMat-Bulk
Functional: PBE
Structure: optimized geometry

The calculation puts the raw formation energy at -0.318 eV/atom.

It has space group I4/mmm (No. 139), with a = 8.609 Å, b = 8.609 Å, c = 10.534 Å, α = 90.00°, β = 90.00° and γ = 90.00°. The asymmetric unit holds Rb at (0.000, 0.500, 0.250), Be at (0.000, 0.000, 0.000), B at (0.000, 0.000, 0.500), I at (0.000, 0.000, 0.298) and I at (0.215, 0.215, 0.000).